The following is a DFT calculation (PBE) of crystalline PmSm4Sc at its relaxed geometry.

Cell and atoms, written as CIF:
```
data_PmSm4Sc
_cell_length_a 6.1905
_cell_length_b 6.1894
_cell_length_c 6.1738
_cell_angle_alpha 99.60
_cell_angle_beta 80.40
_cell_angle_gamma 59.94
_space_group_name_H-M_alt 'P 1'
_space_group_IT_number 1
loop_
_space_group_symop_operation_xyz
'x,y,z'
loop_
_atom_site_label
_atom_site_fract_x
_atom_site_fract_y
_atom_site_fract_z
Pm1 0.5000 0.5000 0.5000
Sm1 0.3329 0.3332 0.0000
Sm2 0.6671 0.6668 0.0000
Sm3 0.8364 0.8367 0.5002
Sm4 0.1636 0.1633 0.4998
Sc1 0.0000 0.0000 0.0000
```

Values from the calculation:
Energy relative to the elements   37 meV per atom
Total moment   0.00 μB/atom
ρ   6.8 g/cm3
Space-group type   C2/m